Entry 1:
First-principles (GGA-PBE) data for a relaxed structure of CuP2PbS, as listed in Alexandria.

Unit cell a=5.232 b=5.232 c=4.873 alpha=90.00 beta=90.00 gamma=90.00
Space group P4/mmm (No. 123)
One atom of each set of equivalent atoms:
Cu  0.000  0.000  0.000 (multiplicity 1)
P  0.000  0.500  0.500 (multiplicity 2)
Pb  0.000  0.000  0.500 (multiplicity 1)
S  0.500  0.500  0.000 (multiplicity 1)

Computed properties:
**E_form (uncorrected)**: 7.62 eV per formula unit
**Crystal system**: tetragonal
**Final energy**: -15.14 eV per formula unit
**Distance to the lowest polymorph of the same formula**: 1.016 eV per atom


Entry 2:
First-principles (GGA-PBE) data for a relaxed structure of CuPPbS2, as listed in Alexandria.

Unit cell a=4.811 b=4.811 c=4.262 alpha=90.00 beta=90.00 gamma=90.00
Space group P4/mmm (No. 123)
One atom of each set of equivalent atoms:
Cu  0.000  0.000  0.000 (multiplicity 1)
P  0.000  0.000  0.500 (multiplicity 1)
Pb  0.500  0.500  0.000 (multiplicity 1)
S  0.000  0.500  0.500 (multiplicity 2)

Computed properties:
**E_form (uncorrected)**: 0.57 eV per formula unit
**Crystal system**: tetragonal
**Final energy**: -20.90 eV per formula unit
**Distance to the lowest polymorph of the same formula**: 0.000 eV per atom


Entry 3:
First-principles (GGA-PBE) data for a relaxed structure of SrCu4P2Pb, as listed in Alexandria.

Unit cell a=4.017 b=4.017 c=9.298 alpha=90.00 beta=90.00 gamma=90.00
Space group P4/mmm (No. 123)
One atom of each set of equivalent atoms:
Sr  0.000  0.000  0.000 (multiplicity 1)
Cu  0.000  0.500  0.287 (multiplicity 4)
P  0.500  0.500  0.170 (multiplicity 2)
Pb  0.000  0.000  0.500 (multiplicity 1)

Computed properties:
**Crystal system**: tetragonal
**Final energy**: -34.73 eV per formula unit


Entry 4:
First-principles (GGA-PBE) data for a relaxed structure of ZrCuP2Pb, as listed in Alexandria.

Unit cell a=5.096 b=5.096 c=5.585 alpha=90.00 beta=90.00 gamma=90.00
Space group P4/mmm (No. 123)
One atom of each set of equivalent atoms:
Zr  0.000  0.000  0.000 (multiplicity 1)
Cu  0.500  0.500  0.000 (multiplicity 1)
P  0.000  0.500  0.500 (multiplicity 2)
Pb  0.000  0.000  0.500 (multiplicity 1)

Computed properties:
**Crystal system**: tetragonal
**Final energy**: -19.12 eV per formula unit


Entry 5:
First-principles (GGA-PBE) data for a relaxed structure of Cu3PPd6, as listed in Alexandria.

Unit cell a=7.083 b=4.389 c=9.706 alpha=90.00 beta=107.86 gamma=90.00
Space group P2_1/m (No. 11)
One atom of each set of equivalent atoms:
Cu  0.024  0.250  0.370 (multiplicity 2)
Cu  0.089  0.750  0.215 (multiplicity 2)
Cu  0.269  0.250  0.963 (multiplicity 2)
P  0.497  0.750  0.360 (multiplicity 2)
Pd  0.024  0.750  0.921 (multiplicity 2)
Pd  0.183  0.250  0.650 (multiplicity 2)
Pd  0.268  0.750  0.491 (multiplicity 2)
Pd  0.343  0.750  0.820 (multiplicity 2)
Pd  0.349  0.250  0.299 (multiplicity 2)
Pd  0.402  0.750  0.114 (multiplicity 2)

Computed properties:
**Crystal system**: monoclinic
**Final energy**: -50.73 eV per formula unit
**Distance to the lowest polymorph of the same formula**: 0.000 eV per atom


Entry 6:
First-principles (GGA-PBE) data for a relaxed structure of CuPPd3, as listed in Alexandria.

Unit cell a=4.478 b=6.358 c=6.626 alpha=118.54 beta=107.75 gamma=90.13
Space group P1 (No. 1)
One atom of each set of equivalent atoms:
Cu  0.000  0.000  0.000 (multiplicity 1)
Cu  0.093  0.215  0.435 (multiplicity 1)
P  0.385  0.696  0.393 (multiplicity 1)
P  0.711  0.520  0.041 (multiplicity 1)
Pd  0.121  0.444  0.892 (multiplicity 1)
Pd  0.546  0.898  0.216 (multiplicity 1)
Pd  0.548  0.108  0.717 (multiplicity 1)
Pd  0.548  0.317  0.218 (multiplicity 1)
Pd  0.548  0.607  0.717 (multiplicity 1)
Pd  0.975  0.771  0.543 (multiplicity 1)

Computed properties:
**Crystal system**: triclinic
**Final energy**: -25.79 eV per formula unit
**Distance to the lowest polymorph of the same formula**: 0.048 eV per atom


Entry 7:
First-principles (GGA-PBE) data for a relaxed structure of CuP2Pd, as listed in Alexandria.

Unit cell a=3.959 b=3.959 c=15.388 alpha=90.00 beta=90.00 gamma=90.00
Space group I-42d (No. 122)
One atom of each set of equivalent atoms:
Cu  0.000  0.000  0.000 (multiplicity 4)
P  0.209  0.250  0.125 (multiplicity 8)
Pd  0.000  0.000  0.500 (multiplicity 4)

Computed properties:
**Crystal system**: tetragonal
**Final energy**: -20.15 eV per formula unit
**Distance to the lowest polymorph of the same formula**: 0.000 eV per atom


Entry 8:
First-principles (GGA-PBE) data for a relaxed structure of CuPPd3, as listed in Alexandria.

Unit cell a=4.554 b=4.554 c=4.554 alpha=90.00 beta=90.00 gamma=90.00
Space group Pm-3m (No. 221)
One atom of each set of equivalent atoms:
Cu  0.000  0.000  0.000 (multiplicity 1)
P  0.500  0.500  0.500 (multiplicity 1)
Pd  0.000  0.000  0.500 (multiplicity 3)

Computed properties:
**Crystal system**: cubic
**Final energy**: -20.38 eV per formula unit
**Distance to the lowest polymorph of the same formula**: 1.130 eV per atom


Entry 9:
First-principles (GGA-PBE) data for a relaxed structure of Cu2PPd2, as listed in Alexandria.

Unit cell a=6.995 b=7.255 c=5.499 alpha=90.00 beta=90.00 gamma=90.00
Space group Ccc2 (No. 37)
One atom of each set of equivalent atoms:
Cu  0.048  0.193  0.000 (multiplicity 8)
P  0.250  0.250  0.333 (multiplicity 4)
Pd  0.201  0.448  0.677 (multiplicity 8)

Computed properties:
**Crystal system**: orthorhombic
**Final energy**: -25.36 eV per formula unit
**Distance to the lowest polymorph of the same formula**: 0.000 eV per atom


Entry 10:
First-principles (GGA-PBE) data for a relaxed structure of Cu5P2Pd, as listed in Alexandria.

Unit cell a=9.687 b=7.743 c=2.859 alpha=90.00 beta=106.99 gamma=90.00
Space group C2/m (No. 12)
One atom of each set of equivalent atoms:
Cu  0.000  0.000  0.000 (multiplicity 2)
Cu  0.136  0.223  0.636 (multiplicity 8)
P  0.237  0.500  0.734 (multiplicity 4)
Pd  0.000  0.500  0.000 (multiplicity 2)

Computed properties:
**Crystal system**: monoclinic
**Final energy**: -36.73 eV per formula unit


Entry 11:
First-principles (GGA-PBE) data for a relaxed structure of CuPPd3, as listed in Alexandria.

Unit cell a=3.700 b=7.698 c=11.074 alpha=90.00 beta=90.00 gamma=90.00
Space group Amm2 (No. 38)
One atom of each set of equivalent atoms:
Cu  0.000  0.000  0.000 (multiplicity 2)
Cu  0.500  0.000  0.461 (multiplicity 2)
P  0.500  0.216  0.717 (multiplicity 4)
Pd  0.000  0.186  0.589 (multiplicity 4)
Pd  0.000  0.194  0.338 (multiplicity 4)
Pd  0.500  0.000  0.155 (multiplicity 2)
Pd  0.500  0.000  0.854 (multiplicity 2)

Computed properties:
**Crystal system**: orthorhombic
**Final energy**: -26.03 eV per formula unit
**Distance to the lowest polymorph of the same formula**: 0.000 eV per atom


Entry 12:
First-principles (GGA-PBE) data for a relaxed structure of Cu2PPd6, as listed in Alexandria.

Unit cell a=5.401 b=6.046 c=9.705 alpha=90.00 beta=120.06 gamma=90.00
Space group P2_1/c (No. 14)
One atom of each set of equivalent atoms:
Cu  0.170  0.094  0.256 (multiplicity 4)
P  0.000  0.000  0.500 (multiplicity 2)
Pd  0.154  0.163  0.976 (multiplicity 4)
Pd  0.326  0.711  0.979 (multiplicity 4)
Pd  0.351  0.503  0.259 (multiplicity 4)

Computed properties:
**Crystal system**: monoclinic
**Final energy**: -46.45 eV per formula unit


Entry 13:
First-principles (GGA-PBE) data for a relaxed structure of Cu5PPd8, as listed in Alexandria.

Unit cell a=7.269 b=7.269 c=7.761 alpha=90.00 beta=90.00 gamma=90.00
Space group I-4 (No. 82)
One atom of each set of equivalent atoms:
Cu  0.000  0.000  0.000 (multiplicity 2)
Cu  0.110  0.290  0.321 (multiplicity 8)
P  0.000  0.500  0.750 (multiplicity 2)
Pd  0.071  0.180  0.653 (multiplicity 8)
Pd  0.081  0.325  0.991 (multiplicity 8)

Computed properties:
**Crystal system**: tetragonal
**Final energy**: -68.84 eV per formula unit


Entry 14:
First-principles (GGA-PBE) data for a relaxed structure of Cu2PPd, as listed in Alexandria.

Unit cell a=13.164 b=7.059 c=4.597 alpha=90.00 beta=90.00 gamma=90.00
Space group Pnma (No. 62)
One atom of each set of equivalent atoms:
Cu  0.037  0.054  0.247 (multiplicity 8)
Cu  0.216  0.552  0.456 (multiplicity 8)
P  0.066  0.750  0.443 (multiplicity 4)
P  0.187  0.250  0.262 (multiplicity 4)
Pd  0.107  0.250  0.769 (multiplicity 4)
Pd  0.134  0.750  0.951 (multiplicity 4)

Computed properties:
**Crystal system**: orthorhombic
**Final energy**: -19.55 eV per formula unit


Entry 15:
First-principles (GGA-PBE) data for a relaxed structure of Cu3PPd6, as listed in Alexandria.

Unit cell a=6.296 b=6.396 c=9.502 alpha=90.00 beta=127.29 gamma=90.00
Space group P2_1/c (No. 14)
One atom of each set of equivalent atoms:
Cu  0.000  0.000  0.000 (multiplicity 2)
Cu  0.169  0.174  0.739 (multiplicity 4)
P  0.500  0.000  0.500 (multiplicity 2)
Pd  0.110  0.138  0.442 (multiplicity 4)
Pd  0.321  0.672  0.443 (multiplicity 4)
Pd  0.489  0.069  0.253 (multiplicity 4)

Computed properties:
**Crystal system**: monoclinic
**Final energy**: -49.84 eV per formula unit
**Distance to the lowest polymorph of the same formula**: 0.089 eV per atom


Entry 16:
First-principles (GGA-PBE) data for a relaxed structure of CuP2Pd, as listed in Alexandria.

Unit cell a=6.119 b=6.119 c=6.119 alpha=90.00 beta=90.00 gamma=90.00
Space group Fm-3m (No. 225)
One atom of each set of equivalent atoms:
Cu  0.000  0.000  0.000 (multiplicity 4)
P  0.250  0.250  0.250 (multiplicity 8)
Pd  0.000  0.000  0.500 (multiplicity 4)

Computed properties:
**Crystal system**: cubic
**Final energy**: -19.62 eV per formula unit
**Distance to the lowest polymorph of the same formula**: 0.132 eV per atom


Entry 17:
First-principles (GGA-PBE) data for a relaxed structure of Cu2PPd2, as listed in Alexandria.

Unit cell a=5.962 b=5.962 c=3.959 alpha=90.00 beta=90.00 gamma=90.00
Space group P4/mbm (No. 127)
One atom of each set of equivalent atoms:
Cu  0.143  0.357  0.000 (multiplicity 4)
P  0.000  0.000  0.000 (multiplicity 2)
Pd  0.166  0.666  0.500 (multiplicity 4)

Computed properties:
**Crystal system**: tetragonal
**Final energy**: -24.03 eV per formula unit
**Distance to the lowest polymorph of the same formula**: 0.267 eV per atom


Entry 18:
First-principles (GGA-PBE) data for a relaxed structure of Cu3PPd8, as listed in Alexandria.

Unit cell a=5.784 b=5.784 c=5.784 alpha=90.00 beta=90.00 gamma=90.00
Space group Pm-3m (No. 221)
One atom of each set of equivalent atoms:
Cu  0.000  0.000  0.500 (multiplicity 3)
P  0.500  0.500  0.500 (multiplicity 1)
Pd  0.258  0.258  0.258 (multiplicity 8)

Computed properties:
**Crystal system**: cubic
**Final energy**: -59.52 eV per formula unit


Entry 19:
First-principles (GGA-PBE) data for a relaxed structure of Cu5P2Pd12, as listed in Alexandria.

Unit cell a=11.692 b=7.455 c=6.561 alpha=90.00 beta=97.35 gamma=90.00
Space group C2/m (No. 12)
One atom of each set of equivalent atoms:
Cu  0.000  0.000  0.000 (multiplicity 2)
Cu  0.190  0.500  0.463 (multiplicity 4)
Cu  0.240  0.000  0.088 (multiplicity 4)
P  0.000  0.250  0.500 (multiplicity 4)
Pd  0.038  0.500  0.721 (multiplicity 4)
Pd  0.092  0.000  0.365 (multiplicity 4)
Pd  0.114  0.300  0.107 (multiplicity 8)
Pd  0.162  0.186  0.731 (multiplicity 8)

Computed properties:
**Crystal system**: monoclinic
**Final energy**: -96.09 eV per formula unit


Entry 20:
First-principles (GGA-PBE) data for a relaxed structure of Cu3PPd4, as listed in Alexandria.

Unit cell a=5.826 b=5.838 c=12.913 alpha=90.00 beta=90.00 gamma=90.00
Space group Fmmm (No. 69)
One atom of each set of equivalent atoms:
Cu  0.000  0.000  0.000 (multiplicity 4)
Cu  0.000  0.000  0.248 (multiplicity 8)
P  0.000  0.000  0.500 (multiplicity 4)
Pd  0.250  0.250  0.118 (multiplicity 16)

Computed properties:
**Crystal system**: orthorhombic
**Final energy**: -39.95 eV per formula unit


Entry 21:
First-principles (GGA-PBE) data for a relaxed structure of CuP3Pd, as listed in Alexandria.

Unit cell a=4.449 b=4.449 c=4.449 alpha=90.00 beta=90.00 gamma=90.00
Space group Pm-3m (No. 221)
One atom of each set of equivalent atoms:
Cu  0.000  0.000  0.000 (multiplicity 1)
P  0.000  0.000  0.500 (multiplicity 3)
Pd  0.500  0.500  0.500 (multiplicity 1)

Computed properties:
**Crystal system**: cubic
**Final energy**: -21.18 eV per formula unit
**Distance to the lowest polymorph of the same formula**: 0.000 eV per atom